Entry 1:
NaSr3Rh | SCAN | single point on PBEsol structure

Calculated values
spin magnetization: 0.000 μB per formula unit
formation energy: -0.163 eV/atom

Lattice parameters (Å, degrees): 5.826 5.826 5.826 90.00 90.00 90.00
Atoms (fractional coordinates):
Sr (0.000, 0.500, 0.000)
Sr (0.000, 0.000, 0.500)
Sr (0.500, 0.000, 0.000)
Na (0.500, 0.500, 0.500)
Rh (0.000, 0.000, 0.000)

=====

Entry 2:
NaSrTa2Rh | SCAN | single point on PBEsol structure

Calculated values
spin magnetization: 0.006 μB per formula unit
formation energy: 0.848 eV/atom

Lattice parameters (Å, degrees): 4.816 4.816 5.823 90.00 90.00 90.00
Atoms (fractional coordinates):
Na (0.500, 0.500, 0.500)
Ta (0.000, 0.500, 0.000)
Ta (0.500, 0.000, 0.000)
Rh (0.000, 0.000, 0.000)
Sr (0.000, 0.000, 0.500)